# ZnH2O, optimized geometry, DFT PBE-GGA
# Space group: No. 227
# V: 31.3 Å³/f.u.
# N(E_F): 1.05 states/eV/cell
# Distance to the lowest polymorph of the same formula: 2.28 eV per formula unit
data_ZnH2O
_cell_length_a 4.458
_cell_length_b 4.458
_cell_length_c 4.458
_cell_angle_alpha 60.00
_cell_angle_beta 60.00
_cell_angle_gamma 60.00
_symmetry_space_group_name_H-M 'P 1'
_symmetry_Int_Tables_number 1
loop_
_symmetry_equiv_pos_as_xyz
'x,y,z'
loop_
_atom_site_label
_atom_site_type_symbol
_atom_site_fract_x
_atom_site_fract_y
_atom_site_fract_z
Zn1 Zn 0.125 0.125 0.125
Zn2 Zn 0.875 0.875 0.875
H1 H 0.000 0.500 0.500
H2 H 0.500 0.000 0.500
H3 H 0.500 0.500 0.000
H4 H 0.500 0.500 0.500
O1 O 0.375 0.375 0.375
O2 O 0.625 0.625 0.625